Record 1
Compound: CuHgSO
Source: Alexandria
Functional: PBE
Structure: relaxed

Computed properties:
As for the relative energy among the computed polymorphs: 118.6 meV/atom.

Cell and atoms, written as extended XYZ:
```
8
Lattice="-1.926 -3.253 3.348 -1.660 -0.255 -3.347 5.674 -4.646 -6.127" Properties=species:S:1:pos:R:3 pbc="T T T"
S 1.691 -3.365 -3.648
S -1.472 -2.413 -2.603
O 2.587 -7.099 -3.165
O 0.822 -4.511 -4.189
Hg -0.747 -4.581 -1.642
Hg 2.457 -3.942 -7.440
Cu 4.060 -6.755 -4.211
Cu -1.061 -1.039 -0.951
```

=====

Record 2
Compound: CuHgSO
Source: Alexandria
Functional: PBE
Structure: relaxed

Computed properties:
As for the relative energy among the computed polymorphs: 0.0 meV/atom.

Cell and atoms, written as extended XYZ:
```
8
Lattice="-6.667 0.538 2.114 -1.192 -6.569 0.280 2.810 -0.017 2.931" Properties=species:S:1:pos:R:3 pbc="T T T"
S -5.572 -5.055 3.886
S -3.688 -4.938 1.660
Cu -7.086 -5.875 2.515
Cu -0.725 -4.532 2.257
O -2.159 0.209 1.556
O -2.603 -4.009 2.177
Hg 0.097 -1.956 1.765
Hg -2.056 -1.547 4.065
```

=====

Record 3
Compound: Cu2HgSO6
Source: Alexandria
Functional: PBE
Structure: relaxed

Cell and atoms, written as extended XYZ:
```
20
Lattice="-2.952 2.992 -5.169 -0.501 -4.197 -5.370 -6.786 -0.784 0.195" Properties=species:S:1:pos:R:3 pbc="T T T"
O -7.135 -1.031 -6.199
O -4.121 -2.143 -7.246
O -3.321 1.857 -4.308
O -8.890 -2.081 -8.181
O -6.918 -3.846 -6.036
O -3.104 -0.958 -4.145
O -5.625 1.105 -5.804
O -1.350 0.092 -2.163
O -6.118 0.154 -3.098
O -4.267 -0.157 -8.628
O -5.973 -1.832 -1.715
O -4.614 -3.094 -4.540
Cu -5.793 -2.049 -5.487
Cu -4.446 0.060 -4.857
Cu -7.441 -0.460 -7.920
Cu -2.799 -1.529 -2.424
Hg -2.528 -2.749 -5.521
Hg -7.712 0.760 -4.823
S -3.597 -1.475 -8.466
S -6.643 -0.515 -1.878
```

=====

Record 4
Compound: CuHgSO4
Source: Alexandria
Functional: PBE
Structure: relaxed

Cell and atoms, written as extended XYZ:
```
7
Lattice="-4.955 -3.419 1.427 2.081 -0.596 5.797 0.086 4.265 -2.895" Properties=species:S:1:pos:R:3 pbc="T T T"
O -3.415 -2.647 3.755
O -1.395 2.303 -1.365
O 0.056 -0.560 3.726
O -0.823 1.404 2.542
Cu -1.437 -2.008 3.612
Hg 0.000 0.000 0.000
S 0.365 0.831 3.257
```

=====

Record 5
Compound: CuHgSO
Source: Alexandria
Functional: PBE
Structure: relaxed

Computed properties:
As for the relative energy among the computed polymorphs: 391.8 meV/atom.

Cell and atoms, written as extended XYZ:
```
8
Lattice="4.205 0.000 0.000 0.000 4.205 0.000 0.000 0.000 7.661" Properties=species:S:1:pos:R:3 pbc="T T T"
S 0.000 2.103 4.884
S 2.103 0.000 2.777
Hg 0.000 2.103 0.819
Hg 2.103 0.000 6.842
O 2.103 2.103 0.000
O 0.000 0.000 0.000
Cu 0.000 0.000 3.831
Cu 2.103 2.103 3.831
```

=====

Record 6
Compound: Cu2Hg2SbO6
Source: Alexandria
Functional: PBE
Structure: relaxed

Cell and atoms, written as extended XYZ:
```
11
Lattice="-4.944 -1.738 -1.660 1.136 -1.677 5.110 -1.323 5.856 1.135" Properties=species:S:1:pos:R:3 pbc="T T T"
O -3.590 1.154 3.214
O -1.379 2.050 5.243
O -3.752 0.390 -0.659
O -5.379 2.010 0.788
O -1.540 1.286 1.371
O 0.249 0.430 3.796
Cu -3.536 1.210 1.211
Cu -1.594 1.230 3.373
Sb -0.661 2.928 0.567
Hg -3.893 -1.728 -0.491
Hg 0.086 -1.688 3.941
```

=====

Record 7
Compound: Cu4HgSb3O12
Source: Alexandria
Functional: PBE
Structure: relaxed

Cell and atoms, written as extended XYZ:
```
20
Lattice="6.844 -0.191 -0.266 -1.835 6.597 -0.266 -1.835 -2.346 6.171" Properties=species:S:1:pos:R:3 pbc="T T T"
O 1.587 0.498 3.922
O 1.587 -1.571 5.411
O 5.618 0.686 1.808
O -1.907 4.763 2.820
O 0.099 5.813 1.224
O -2.443 2.563 4.415
O 5.082 2.897 0.228
O 0.101 3.192 2.820
O 3.074 2.399 1.717
O 3.863 -1.558 3.832
O -0.688 -0.069 5.901
O 3.076 4.744 -0.261
Sb 3.085 2.749 -0.266
Sb 1.925 -1.413 3.383
Sb -1.835 2.723 2.523
Cu 1.587 5.785 0.116
Cu -2.058 1.125 5.523
Cu 5.232 -0.821 2.820
Cu 1.587 2.030 2.820
Hg 0.000 0.000 0.000
```

=====

Record 8
Compound: ScCu2HgO
Source: Alexandria
Functional: PBE
Structure: relaxed

Cell and atoms, written as extended XYZ:
```
5
Lattice="-2.978 -2.338 3.011 3.397 0.105 3.442 -1.526 3.736 1.392" Properties=species:S:1:pos:R:3 pbc="T T T"
Hg 0.000 0.000 0.000
O -0.763 1.868 0.696
Cu -1.489 -1.169 1.505
Cu 1.699 0.052 1.721
Sc -0.554 0.752 3.922
```

=====

no.,density (g/cm3),raw formation energy (eV/atom)
1,6.80,-0.222
2,6.11,-0.341
3,5.62,-0.663
4,5.73,-0.796
5,7.65,0.051
6,7.56,-0.667
7,6.28,-0.840
8,6.46,0.542